Record 1
## BiMoOs2 (GGA-PBE)

Data for a relaxed BiMoOs2 crystal.

abc: 5.8908 5.8908 7.1783
angles: 65.78 65.78 90.00
Sites, in units of the cell vectors:
Mo1 0.5000 0.5000 0.0000
Mo2 0.2500 0.7500 0.5000
Os1 0.5891 0.1250 0.2500
Os2 0.1609 0.6250 0.2500
Os3 0.3750 0.4109 0.7500
Os4 0.8750 0.8391 0.7500
Bi1 0.0000 0.0000 0.0000
Bi2 0.7500 0.2500 0.5000

Properties
**DOS(E_F)**: 3.0 states/eV/f.u.
**Total DFT energy (no corrections)**: -31.84 eV/f.u.

---

Record 2
## PaI3Br4 (GGA-PBE)

Data for a relaxed PaI3Br4 crystal.

abc: 5.8914 9.3423 16.8306
angles: 90.00 90.00 90.00
Sites, in units of the cell vectors:
Pa1 0.1069 0.3258 0.0000
Pa2 0.6069 0.6742 0.5000
I1 0.3896 0.6154 0.0000
I2 0.8716 0.5852 0.1029
I3 0.3716 0.4148 0.3971
I4 0.8896 0.3846 0.5000
I5 0.3716 0.4148 0.6029
I6 0.8716 0.5852 0.8971
Br1 0.1482 0.0394 0.0000
Br2 0.6585 0.2487 0.0000
Br3 0.2344 0.3040 0.1540
Br4 0.7344 0.6960 0.3460
Br5 0.1585 0.7513 0.5000
Br6 0.6482 0.9606 0.5000
Br7 0.7344 0.6960 0.6540
Br8 0.2344 0.3040 0.8460

Properties
**Energy relative to the elements, uncorrected**: -0.80 eV/atom
**DOS(E_F)**: 5.5 states/eV/f.u.
**Total DFT energy (no corrections)**: -27.23 eV/f.u.

---

Record 3
## CuAg2Pd (GGA-PBE)

Data for a relaxed CuAg2Pd crystal.

abc: 2.8644 2.8644 7.7070
angles: 90.00 90.00 90.00
Sites, in units of the cell vectors:
Cu1 0.5000 0.5000 0.0000
Pd1 0.5000 0.5000 0.5000
Ag1 0.0000 0.0000 0.7630
Ag2 0.0000 0.0000 0.2370

Properties
**DOS(E_F)**: 1.9 states/eV/f.u.
**Total DFT energy (no corrections)**: -14.86 eV/f.u.

---

Record 4
## Pm3DyHg (GGA-PBE)

Data for a relaxed Pm3DyHg crystal.

abc: 6.8598 6.8598 8.8712
angles: 88.33 120.05 112.96
Sites, in units of the cell vectors:
Pm1 0.7347 0.9136 0.1449
Pm2 0.2313 0.4102 0.1449
Pm3 0.7687 0.5898 0.8551
Pm4 0.8199 0.4440 0.2638
Pm5 0.2653 0.0864 0.8551
Pm6 0.1801 0.5560 0.7362
Dy1 0.6814 0.0603 0.7417
Dy2 0.3186 0.9397 0.2583
Hg1 0.7393 0.7601 0.4994
Hg2 0.2607 0.2399 0.5006

Properties
**ΔE to the lowest computed polymorph**: 84 meV/atom
**DOS(E_F)**: 5.0 states/eV/f.u.
**Total DFT energy (no corrections)**: -19.63 eV/f.u.

---

Record 5
## CsVS3 (GGA-PBE)

Data for a relaxed CsVS3 crystal.

abc: 3.3777 8.6671 8.6671
angles: 121.20 90.00 90.00
Sites, in units of the cell vectors:
Cs1 0.5000 0.0710 0.9290
S1 0.5000 0.2620 0.3776
S2 0.5000 0.6224 0.7380
S3 0.0000 0.2672 0.7328
V1 0.0000 0.4055 0.5945

Properties
**ΔE to the lowest computed polymorph**: 272 meV/atom
**Energy relative to the elements, uncorrected**: -0.71 eV/atom
**DOS(E_F)**: 0.3 states/eV/f.u.
**Total DFT energy (no corrections)**: -25.92 eV/f.u.

---

Record 6
## Ca2ZnCu6Rh (GGA-PBE)

Data for a relaxed Ca2ZnCu6Rh crystal.

abc: 6.5635 6.5635 6.5635
angles: 60.00 60.00 90.00
Sites, in units of the cell vectors:
Ca1 0.2500 0.7500 0.5000
Ca2 0.7500 0.2500 0.5000
Zn1 0.5000 0.5000 0.0000
Cu1 0.2541 0.7459 0.0000
Cu2 0.7459 0.7459 0.0000
Cu3 0.2541 0.2541 0.4917
Cu4 0.7459 0.2541 0.0000
Cu5 0.2541 0.2541 0.0000
Cu6 0.7459 0.7459 0.5083
Rh1 0.0000 0.0000 0.0000

Properties
**DOS(E_F)**: 3.7 states/eV/f.u.
**Total DFT energy (no corrections)**: -34.89 eV/f.u.

---

Record 7
## Li3GaGe (GGA-PBE)

Data for a relaxed Li3GaGe crystal.

abc: 4.7083 4.7083 4.7083
angles: 90.00 90.00 90.00
Sites, in units of the cell vectors:
Ge1 0.5000 0.5000 0.5000
Ga1 0.0000 0.0000 0.0000
Li1 0.0000 0.5000 0.0000
Li2 0.0000 0.0000 0.5000
Li3 0.5000 0.0000 0.0000

Properties
**ΔE to the lowest computed polymorph**: 574 meV/atom
**DOS(E_F)**: 2.1 states/eV/f.u.
**Total DFT energy (no corrections)**: -11.97 eV/f.u.

---

Record 8
## CsLi4Pr3Br12 (GGA-PBE)

Data for a relaxed CsLi4Pr3Br12 crystal.

abc: 9.7843 9.7843 9.7843
angles: 108.90 108.90 108.90
Sites, in units of the cell vectors:
Cs1 0.0000 0.0000 0.0000
Li1 0.9136 0.0864 0.5000
Li2 0.0864 0.5000 0.9136
Li3 0.5000 0.9136 0.0864
Li4 0.5000 0.5000 0.5000
Pr1 0.5787 0.4213 0.0000
Pr2 0.4213 0.0000 0.5787
Pr3 0.0000 0.5787 0.4213
Br1 0.5000 0.3474 0.6526
Br2 0.9264 0.5000 0.0736
Br3 0.0736 0.9264 0.5000
Br4 0.5000 0.0736 0.9264
Br5 0.3384 0.9278 0.2358
Br6 0.2358 0.3384 0.9278
Br7 0.9278 0.2358 0.3384
Br8 0.6616 0.7642 0.0722
Br9 0.0722 0.6616 0.7642
Br10 0.7642 0.0722 0.6616
Br11 0.6526 0.5000 0.3474
Br12 0.3474 0.6526 0.5000

Properties
**Energy relative to the elements, uncorrected**: -1.59 eV/atom
**DOS(E_F)**: 10.2 states/eV/f.u.
**Total DFT energy (no corrections)**: -74.82 eV/f.u.

---

Q: What is the formula in the second record?
A: PaI3Br4

---

Q: Which of these has the highest DOS(E_F)?
A: CsLi4Pr3Br12

---

Q: Look up the DOS(E_F) of the first one.
A: 3.0 states/eV/f.u.